(1)
4
Lattice="-2.4970 -2.1895 -3.8698 -0.4398 -4.1918 -2.8706 -3.0765 -1.8017 2.7241" Properties=species:S:1:pos:R:3 comment="Mo2RuBr (PBE, optimized geometry)" formation_energy_uncorrected_ev_per_atom=0.69 energy_ev_per_atom=-7.46 crystal_system=monoclinic e_above_lowest_polymorph_mev_per_atom=278 pbc="T T T"
Mo -2.9715 -6.2880 -6.4821
Ru -1.5033 -2.0458 -1.0041
Br -4.5100 -6.1373 -3.0123
Mo -2.9720 -4.1848 -2.2665

***

(2)
6
Lattice="-2.4887 -1.5519 3.3059 -0.6021 4.3339 -0.6208 -1.1544 -2.1052 -3.7103" Properties=species:S:1:pos:R:3 comment="Fe2P (PBE, optimized geometry)" energy_ev_per_atom=-7.72 crystal_system=tetragonal ef_ev_per_atom=-0.28 pbc="T T T"
Fe -2.4394 -0.1921 1.9538
P -2.3181 2.0866 2.0138
Fe -1.8058 0.8690 -2.9790
Fe -1.4975 -0.8175 -0.8767
P -0.7727 0.6955 0.6713
Fe -2.7477 1.4943 -0.1484

***

(3)
4
Lattice="3.4596 0.0000 0.0000 1.7298 2.9961 0.0000 1.7298 0.9987 11.3375" Properties=species:S:1:pos:R:3 comment="Tb2PmHf (PBE, optimized geometry)" energy_ev_per_atom=-5.87 crystal_system=trigonal e_above_lowest_polymorph_mev_per_atom=0 ef_ev_per_atom=0.12 pbc="T T T"
Pm 3.4596 1.9974 5.6733
Tb 1.7298 0.9987 8.7174
Hf 3.4596 1.9974 0.0037
Tb 1.7298 0.9987 2.6120

***

(4)
8
Lattice="-5.2013 0.5493 -2.4990 -0.9487 -5.6719 0.7278 -5.3197 -1.5580 4.0069" Properties=species:S:1:pos:R:3 comment="HfMgS2 (PBE, optimized geometry)" formation_energy_uncorrected_ev_per_atom=-0.90 energy_ev_per_atom=-5.85 crystal_system=tetragonal e_above_lowest_polymorph_mev_per_atom=320 pbc="T T T"
S -6.3019 -3.1249 2.3455
Mg -3.0750 -2.5613 -0.8856
S -2.6055 -3.8623 1.1286
Hf -6.7980 -1.7850 0.3111
S -4.6668 -0.7586 -0.4536
S -9.3651 -5.6154 1.4508
Mg -4.6717 -4.8956 1.9245
Hf 0.0000 0.0000 0.0000

***

(5)
12
Lattice="6.1371 -0.5843 0.0000 -2.2652 8.6591 0.0000 -1.9359 -4.0374 6.7708" Properties=species:S:1:pos:R:3 comment="Th4OsPb (PBE, optimized geometry)" energy_ev_per_atom=-7.65 crystal_system=monoclinic e_above_lowest_polymorph_mev_per_atom=45 ef_ev_per_atom=-0.22 pbc="T T T"
Th -1.0726 5.2972 4.3629
Pb 1.5343 -0.1461 5.1972
Th -1.3684 1.9745 5.6021
Pb 0.4017 4.1835 1.5736
Th 1.8759 3.0697 4.3629
Th 3.0085 -1.2598 2.4080
Th 0.0600 0.9676 2.4080
Th 3.3043 2.0628 1.1687
Os -2.6669 4.4756 6.7620
Os 4.6028 -0.4382 0.0088
Th 3.6361 5.7197 1.1687
Th -1.7001 -1.6824 5.6021

***

(6)
10
Lattice="5.9262 0.0000 0.0000 0.0000 9.9033 -0.1302 0.0000 -2.0477 6.1310" Properties=species:S:1:pos:R:3 comment="AcPr2HoEr (PBE, optimized geometry)" energy_ev_per_atom=-4.52 crystal_system=monoclinic ef_ev_per_atom=0.05 pbc="T T T"
Er 1.4816 5.3185 4.5540
Pr 1.4816 4.6424 0.9458
Er 4.4447 2.5371 1.4468
Pr 4.4447 3.2132 5.0550
Pr 1.4816 1.8036 3.4347
Ac 4.4447 8.7984 0.0839
Pr 4.4447 6.0520 2.5661
Ho 4.4447 -0.2624 3.8379
Ho 1.4816 8.1180 2.1629
Ac 1.4816 -0.9428 5.9169

***

(7)
6
Lattice="2.7315 -0.0023 -0.0024 -0.1300 4.4284 -0.0052 -0.9822 -0.1388 7.7879" Properties=species:S:1:pos:R:3 comment="GaMo2 (PBE, optimized geometry)" energy_ev_per_atom=-8.24 crystal_system=triclinic e_above_lowest_polymorph_mev_per_atom=74 ef_ev_per_atom=-0.01 pbc="T T T"
Mo 0.9505 1.0990 0.6080
Ga 0.0927 3.2845 1.9078
Ga 1.5266 1.0028 5.8725
Mo 1.7943 1.0503 3.1986
Mo 0.6687 3.1883 7.1723
Mo -0.1750 3.2370 4.5817

***

(8)
5
Lattice="-2.0288 -0.2256 -6.2909 4.6788 -3.2622 -1.3919 -3.4420 -5.4943 1.3070" Properties=species:S:1:pos:R:3 comment="KRb2SrP (PBE, optimized geometry)" energy_ev_per_atom=-1.67 crystal_system=tetragonal ef_ev_per_atom=0.36 pbc="T T T"
P 2.3394 -1.6311 -0.6959
Sr -0.3960 -4.4910 -3.1879
Rb -1.0144 -0.1128 -3.1455
K 0.0000 0.0000 0.0000
Rb -1.7210 -2.7471 0.6535

***

(9)
18
Lattice="7.1335 4.0643 0.2031 -7.1335 4.0643 0.2031 0.0000 1.1511 23.2252" Properties=species:S:1:pos:R:3 comment="K12Rb5Na (PBE, optimized geometry)" energy_ev_per_atom=-1.06 crystal_system=monoclinic ef_ev_per_atom=0.01 pbc="T T T"
Rb 4.7415 4.6398 11.8157
K 2.3773 5.6863 15.9332
K -2.2888 6.6397 4.0893
K 0.0000 1.6235 15.6339
K 2.3773 3.5933 7.6982
K -2.2888 2.6399 19.5421
Rb 0.0000 4.6398 11.8157
K 2.2888 2.6399 19.5421
K -2.3773 5.6863 15.9332
Rb -2.3749 4.0643 0.2031
Rb -4.7415 4.6398 11.8157
K 0.0000 7.6562 7.9974
Na 0.0000 0.0000 0.0000
K -2.3773 3.5933 7.6982
Rb 2.3749 4.0643 0.2031
K 2.2888 6.6397 4.0893
K 0.0000 6.8559 19.7685
K 0.0000 2.4238 3.8629

***

(10)
5
Lattice="5.4615 0.0000 0.0000 0.0000 5.4615 0.0000 0.0000 0.0000 5.3441" Properties=species:S:1:pos:R:3 comment="YAsPbSe2 (PBE, optimized geometry)" formation_energy_uncorrected_ev_per_atom=0.10 energy_ev_per_atom=-4.26 crystal_system=tetragonal e_above_lowest_polymorph_mev_per_atom=379 pbc="T T T"
As 0.0000 0.0000 2.6720
Se 2.7308 0.0000 0.0000
Pb 0.0000 0.0000 0.0000
Y 2.7308 2.7308 2.6720
Se 0.0000 2.7308 0.0000

***

(11)
4
Lattice="-1.2999 3.0233 3.0625 -3.6077 1.8590 1.9333 -0.4487 -2.8995 3.9064" Properties=species:S:1:pos:R:3 comment="InCo2Os (PBE, optimized geometry)" energy_ev_per_atom=-6.66 crystal_system=monoclinic ef_ev_per_atom=0.39 pbc="T T T"
Co -4.8884 4.7073 5.1371
Os -1.3391 0.4957 2.2256
In -4.0172 1.4871 6.6767
Co -2.6973 1.1664 4.3097

***

(12)
4
Lattice="3.8955 0.0000 0.0000 0.0000 3.8955 0.0000 0.0000 0.0000 8.8574" Properties=species:S:1:pos:R:3 comment="RbYIn2 (PBE, optimized geometry)" energy_ev_per_atom=-3.44 crystal_system=tetragonal e_above_lowest_polymorph_mev_per_atom=0 ef_ev_per_atom=-0.22 pbc="T T T"
Y 1.9478 1.9478 0.0000
In 0.0000 0.0000 1.6986
In 0.0000 0.0000 7.1589
Rb 1.9478 1.9478 4.4287

***

(13)
4
Lattice="5.7685 -0.0058 -0.0235 4.9252 3.0030 -0.0235 0.4423 0.1240 5.3824" Properties=species:S:1:pos:R:3 comment="CaTl2Mo (PBE, optimized geometry)" energy_ev_per_atom=-3.87 crystal_system=monoclinic e_above_lowest_polymorph_mev_per_atom=177 ef_ev_per_atom=0.52 pbc="T T T"
Tl 2.7609 0.7738 1.4003
Tl 0.4961 0.1390 5.2901
Ca 5.5291 1.5497 2.6419
Mo 8.3603 2.3432 4.0533

***

(14)
8
Lattice="-4.6696 -1.9044 5.0484 0.9040 -6.8582 -1.7510 0.1363 -4.5735 3.4437" Properties=species:S:1:pos:R:3 comment="NaPIr2 (PBE, optimized geometry)" energy_ev_per_atom=-6.06 crystal_system=tetragonal ef_ev_per_atom=0.05 pbc="T T T"
Ir -3.1827 -3.3586 4.2419
Na -1.8828 -4.3813 1.6487
Ir -3.1131 -11.7014 5.3138
Ir 0.4266 -5.5001 -0.0470
P 0.0000 0.0000 0.0000
Ir -1.3895 -6.1121 3.9735
P -3.2081 -5.4296 5.0704
Na -0.4213 -7.9065 1.6707

***

(15)
5
Lattice="-0.3379 3.5946 -2.7571 -4.0896 1.3319 2.2377 2.4164 2.4816 2.9392" Properties=species:S:1:pos:R:3 comment="ZrZnSi2S (PBE, optimized geometry)" formation_energy_uncorrected_ev_per_atom=0.46 energy_ev_per_atom=-4.50 crystal_system=tetragonal pbc="T T T"
Si -0.1690 1.7973 -1.3785
Si 1.2082 1.2408 1.4696
Zn -1.0056 3.7040 1.2099
Zr -2.0448 0.6659 1.1189
S 0.0000 0.0000 0.0000

***

(16)
3
Lattice="-3.5966 -3.4676 -1.8852 -1.1331 -4.9441 1.6691 0.8009 5.0483 1.5449" Properties=species:S:1:pos:R:3 comment="TlZnCo (PBE, optimized geometry)" energy_ev_per_atom=-3.23 crystal_system=tetragonal e_above_lowest_polymorph_mev_per_atom=0 ef_ev_per_atom=0.35 pbc="T T T"
Tl -1.6072 -2.8583 -0.0734
Co -0.1314 -0.2337 -0.0060
Zn -2.9912 -5.3197 -0.1367

***

(17)
5
Lattice="-1.8951 1.8951 4.7259 1.8951 -1.8951 4.7259 1.8951 1.8951 -4.7259" Properties=species:S:1:pos:R:3 comment="InFe4 (PBE, optimized geometry)" energy_ev_per_atom=-6.94 crystal_system=tetragonal ef_ev_per_atom=0.38 pbc="T T T"
Fe 0.0000 0.0000 5.7706
Fe 0.0000 1.8951 2.3630
Fe 0.0000 0.0000 3.6813
In 0.0000 0.0000 0.0000
Fe 1.8951 0.0000 2.3630

***

(18)
5
Lattice="-5.0753 -1.4608 -1.0820 1.1228 -2.0592 -2.4865 0.4108 -4.0474 3.5374" Properties=species:S:1:pos:R:3 comment="LiNiHI2 (PBE, optimized geometry)" energy_ev_per_atom=-2.46 crystal_system=tetragonal e_above_lowest_polymorph_mev_per_atom=0 pbc="T T T"
H 0.5614 -1.0296 -1.2433
Li 0.0000 0.0000 0.0000
Ni -1.7708 -3.7837 -0.0156
I -2.5377 -0.7304 -0.5410
I 0.2054 -2.0237 1.7687

***

(19)
7
Lattice="4.2865 0.0000 0.0000 0.0000 4.2865 0.0000 -2.1433 -2.1433 8.0498" Properties=species:S:1:pos:R:3 comment="La2Nb2Ge2N (PBE, optimized geometry)" formation_energy_uncorrected_ev_per_atom=-0.86 energy_ev_per_atom=-7.65 crystal_system=tetragonal pbc="T T T"
Nb 2.1433 0.0000 0.0000
Ge 0.0000 0.0000 6.1307
Nb 0.0000 2.1433 0.0000
La 2.1433 2.1433 5.3610
La 0.0000 0.0000 2.6888
Ge 2.1433 2.1433 1.9191
N 0.0000 0.0000 0.0000

***

(20)
12
Lattice="-4.0775 2.1207 -1.8765 -4.0659 0.4774 2.8079 0.1838 8.9377 3.1348" Properties=species:S:1:pos:R:3 comment="CsTcS2O8 (PBE, optimized geometry)" formation_energy_uncorrected_ev_per_atom=-1.40 energy_ev_per_atom=-6.33 crystal_system=trigonal pbc="T T T"
O -6.8665 9.7616 4.0623
Cs -3.9798 5.7679 2.0331
O -3.4132 2.5942 0.0411
O -2.4465 1.5454 2.0466
O -4.5464 8.9416 4.0251
Tc 0.0000 0.0000 0.0000
O -1.6889 3.7223 1.3099
O -6.2708 7.8135 2.7563
O -5.5131 9.9904 2.0196
S -5.8008 9.1225 3.2143
S -2.1589 2.4133 0.8519
O -1.0931 1.7742 0.0039

***

(21)
5
Lattice="-3.6549 -1.7001 0.6455 1.7733 -3.6530 0.4197 0.7755 1.2629 7.7166" Properties=species:S:1:pos:R:3 comment="CrI2N2 (PBE, optimized geometry)" formation_energy_uncorrected_ev_per_atom=1.78 energy_ev_per_atom=-4.10 crystal_system=tetragonal e_above_lowest_polymorph_mev_per_atom=624 pbc="T T T"
N -1.8275 -0.8500 0.3228
I 0.0000 0.0000 0.0000
Cr -0.5531 -2.0451 4.3909
I 0.3877 0.6315 3.8583
N 0.8867 -1.8265 0.2098

***

(22)
4
Lattice="4.3734 0.0000 0.0000 2.1867 3.7875 0.0000 2.1867 1.2625 7.3976" Properties=species:S:1:pos:R:3 comment="Pr2TeAs (PBE, optimized geometry)" formation_energy_uncorrected_ev_per_atom=-1.54 energy_ev_per_atom=-5.88 crystal_system=trigonal e_above_lowest_polymorph_mev_per_atom=0 pbc="T T T"
As 0.0000 0.0000 0.0000
Pr 2.1867 1.2625 1.6357
Pr 6.5601 3.7875 5.7620
Te 4.3734 2.5250 3.6988

***

(23)
4
Lattice="-2.9893 0.3062 -2.2895 -0.3048 -2.8613 0.0153 -3.0280 -1.0718 3.8102" Properties=species:S:1:pos:R:3 comment="CrCo2Se (PBE, optimized geometry)" formation_energy_uncorrected_ev_per_atom=0.26 energy_ev_per_atom=-6.57 crystal_system=monoclinic pbc="T T T"
Cr -2.3279 -0.8302 -0.1884
Se -3.9942 -2.7967 1.7244
Co -0.2685 -2.4887 0.0179
Co -1.7026 -2.3392 1.9102

***

(24)
6
Lattice="-2.6185 -0.6291 5.2715 -4.8286 -3.3044 2.1598 3.5279 -3.5510 2.4823" Properties=species:S:1:pos:R:3 comment="BiAsO (PBE, optimized geometry)" formation_energy_uncorrected_ev_per_atom=-0.44 energy_ev_per_atom=-4.94 crystal_system=triclinic pbc="T T T"
Bi -0.6877 -4.9844 5.5914
O 1.0699 -2.7969 1.9541
As -3.1714 -4.3787 4.3218
Bi -3.9208 -3.8745 7.0672
As -3.2174 -6.6867 7.1796
O -6.2337 -3.3461 6.4545

***

(25)
11
Lattice="-3.0756 0.0369 -2.8247 2.9660 -4.6060 -3.2896 -2.8437 -3.4587 6.1380" Properties=species:S:1:pos:R:3 comment="PaCd2Pd8 (PBE, optimized geometry)" energy_ev_per_atom=-5.33 crystal_system=monoclinic e_above_lowest_polymorph_mev_per_atom=0 ef_ev_per_atom=-0.52 pbc="T T T"
Cd -0.0387 -4.5003 -0.0167
Pd -0.6602 -1.7545 0.6960
Pd -2.2930 -6.2733 -0.6722
Pd -0.9909 -2.6551 -2.0428
Pd -4.7348 -4.3872 2.0111
Pa -1.5378 0.0185 -1.4123
Pd -1.9624 -5.3727 2.0665
Pd -2.5548 -2.6094 2.7476
Pd -0.3985 -5.4184 -2.7239
Cd -2.9146 -3.5275 0.0404
Pd 1.7816 -3.6406 -1.9874

***

(26)
8
Lattice="-0.1341 1.7350 -7.1552 -3.6755 -6.2167 -1.4385 -4.3525 -0.8806 -3.9212" Properties=species:S:1:pos:R:3 comment="LiZr2Ni (PBE, optimized geometry)" energy_ev_per_atom=-5.99 crystal_system=tetragonal ef_ev_per_atom=0.21 pbc="T T T"
Ni 0.0000 0.0000 0.0000
Zr -3.3967 -3.9580 -2.4882
Zr -4.5463 -2.0930 -6.1061
Zr -1.6368 0.1564 -5.9177
Zr -6.7445 -4.8301 -10.5178
Ni -3.1957 -0.6932 -7.6866
Li -4.9664 -4.6691 -4.8283
Li -1.9048 -2.2408 -4.2969